# 1
Crystalline Rb2Pm4Cu4S9 at its relaxed geometry, computed with PBE.

Properties
The total energy is -5.236 eV/atom. The value obtained for the volume is 22.9 Å³ per atom.

a = 7.313 Å, b = 7.313 Å, c = 16.285 Å
α = 108.44°, β = 108.44°, γ = 31.98°
Fractional positions:
S 0.200 0.200 0.396
S 0.157 0.157 0.723
S 0.365 0.365 0.076
S 0.106 0.106 0.125
S 0.800 0.800 0.604
S 0.894 0.894 0.875
S 0.500 0.500 0.500
S 0.843 0.843 0.277
S 0.635 0.635 0.924
Rb 0.527 0.527 0.270
Rb 0.473 0.473 0.730
Cu 0.746 0.746 0.727
Cu 0.070 0.070 0.961
Cu 0.930 0.930 0.039
Cu 0.254 0.254 0.273
Pm 0.155 0.155 0.554
Pm 0.731 0.731 0.103
Pm 0.845 0.845 0.446
Pm 0.269 0.269 0.897


# 2
Crystalline Tm2Al3Tc at its relaxed geometry, computed with PBE.

Properties
The total energy is -5.619 eV/atom. The value obtained for the volume is 19.1 Å³ per atom.

a = 5.455 Å, b = 5.455 Å, c = 8.893 Å
α = 90.00°, β = 90.00°, γ = 120.00°
Fractional positions:
Tc 0.000 0.000 0.500
Tc 0.000 0.000 0.000
Al 0.163 0.326 0.250
Al 0.163 0.837 0.250
Al 0.837 0.163 0.750
Al 0.326 0.163 0.750
Al 0.837 0.674 0.750
Al 0.674 0.837 0.250
Tm 0.667 0.333 0.052
Tm 0.333 0.667 0.552
Tm 0.333 0.667 0.948
Tm 0.667 0.333 0.448


# 3
Crystalline LiPPdO4 at its relaxed geometry, computed with PBE.

Properties
The total energy is -6.213 eV/atom. The value obtained for the volume is 12.3 Å³ per atom.

a = 6.675 Å, b = 6.675 Å, c = 6.675 Å
α = 129.61°, β = 129.61°, γ = 74.03°
Fractional positions:
Pd 0.500 0.000 0.500
Pd 0.000 0.500 0.500
O 0.308 0.808 0.801
O 0.507 0.308 0.500
O 0.993 0.493 0.801
O 0.493 0.692 0.500
O 0.007 0.507 0.199
O 0.192 0.993 0.500
O 0.808 0.007 0.500
O 0.692 0.192 0.199
Li 0.250 0.250 0.000
Li 0.750 0.750 0.000
P 0.250 0.750 0.500
P 0.750 0.250 0.500


# 4
Crystalline La2GdSn5Pb2 at its relaxed geometry, computed with PBE.

Properties
The calculation puts the energy relative to the lowest polymorph listed for this composition at 3 meV per atom. The value obtained for the volume is 28.6 Å³ per atom.

a = 13.311 Å, b = 13.311 Å, c = 4.706 Å
α = 90.00°, β = 90.00°, γ = 159.91°
Fractional positions:
Pb 0.594 0.406 0.000
Pb 0.406 0.594 0.000
Sn 0.711 0.289 0.500
Sn 0.289 0.711 0.500
Sn 0.500 0.500 0.500
Sn 0.093 0.907 0.500
Sn 0.907 0.093 0.500
La 0.186 0.814 0.000
La 0.814 0.186 0.000
Gd 0.000 0.000 0.000


# 5
Crystalline FeGeIrOs at its relaxed geometry, computed with PBE.

Properties
The calculation puts the energy relative to the lowest polymorph listed for this composition at 0 meV per atom. The value obtained for the volume is 14.0 Å³ per atom.

a = 4.294 Å, b = 4.294 Å, c = 4.294 Å
α = 60.00°, β = 60.00°, γ = 60.00°
Fractional positions:
Ge 0.000 0.000 0.000
Ir 0.500 0.500 0.500
Os 0.250 0.250 0.250
Fe 0.750 0.750 0.750


# 6
Crystalline LaCuAu at its relaxed geometry, computed with PBE.

Properties
The total energy is -4.538 eV/atom. The value obtained for the volume is 22.5 Å³ per atom.

a = 5.903 Å, b = 5.903 Å, c = 5.903 Å
α = 134.70°, β = 100.99°, γ = 96.08°
Fractional positions:
Au 0.059 0.335 0.724
Au 0.611 0.335 0.276
La 0.474 0.974 0.500
La 0.026 0.026 0.000
Cu 0.458 0.666 0.792
Cu 0.873 0.666 0.208


# 7
Crystalline Al8Re3 at its relaxed geometry, computed with PBE.

Properties
The total energy is -6.373 eV/atom. The value obtained for the volume is 14.6 Å³ per atom.

a = 4.896 Å, b = 4.896 Å, c = 10.651 Å
α = 103.23°, β = 103.23°, γ = 40.46°
Fractional positions:
Al 0.176 0.176 0.276
Al 0.549 0.549 0.819
Al 0.824 0.824 0.724
Al 0.723 0.723 0.092
Al 0.373 0.373 0.542
Al 0.277 0.277 0.908
Al 0.627 0.627 0.458
Al 0.451 0.451 0.181
Re 0.000 0.000 0.000
Re 0.893 0.893 0.352
Re 0.107 0.107 0.648


# 8
Crystalline Cu5GePd6 at its relaxed geometry, computed with PBE.

Properties
The total energy is -4.778 eV/atom. The value obtained for the volume is 13.9 Å³ per atom.

a = 6.800 Å, b = 6.800 Å, c = 6.013 Å
α = 90.01°, β = 90.01°, γ = 143.07°
Fractional positions:
Cu 0.674 0.326 0.000
Cu 0.326 0.674 0.000
Cu 0.669 0.331 0.500
Cu 0.000 0.000 0.500
Cu 0.331 0.669 0.500
Pd 0.838 0.162 0.249
Pd 0.500 0.500 0.756
Pd 0.838 0.162 0.751
Pd 0.162 0.838 0.249
Pd 0.500 0.500 0.244
Pd 0.162 0.838 0.751
Ge 0.000 0.000 0.000


# 9
Crystalline Li2Ag2Pb at its relaxed geometry, computed with PBE.

Properties
The total energy is -2.720 eV/atom. The value obtained for the volume is 19.2 Å³ per atom.

a = 6.661 Å, b = 6.661 Å, c = 6.661 Å
α = 145.19°, β = 145.19°, γ = 50.05°
Fractional positions:
Li 0.606 0.606 0.000
Li 0.394 0.394 0.000
Pb 0.000 0.000 0.000
Ag 0.250 0.750 0.500
Ag 0.750 0.250 0.500


# 10
Crystalline CsUI6 at its relaxed geometry, computed with PBE.

Properties
The total energy is -3.643 eV/atom. The value obtained for the volume is 56.9 Å³ per atom.

a = 8.969 Å, b = 8.969 Å, c = 8.969 Å
α = 55.34°, β = 55.34°, γ = 55.34°
Last column: magnetic moment on the atom in μB.
Fractional positions:
I 0.909 0.909 0.407  -0.05
I 0.593 0.091 0.091  -0.04
I 0.091 0.593 0.091  -0.05
I 0.909 0.407 0.909  -0.05
I 0.091 0.091 0.593  -0.05
I 0.407 0.909 0.909  -0.04
Cs 0.500 0.500 0.500  0.00
U 0.000 0.000 0.000  1.35


# 11
Crystalline CuBi5Au3 at its relaxed geometry, computed with PBE.

Properties
The total energy is -3.460 eV/atom. The value obtained for the volume is 28.4 Å³ per atom.

a = 5.876 Å, b = 5.876 Å, c = 8.545 Å
α = 90.00°, β = 90.00°, γ = 120.00°
Fractional positions:
Bi 0.333 0.667 0.806
Bi 0.667 0.333 0.194
Bi 0.667 0.333 0.806
Bi 0.333 0.667 0.194
Bi 0.000 0.000 0.500
Cu 0.000 0.000 0.000
Au 0.000 0.500 0.500
Au 0.500 0.000 0.500
Au 0.500 0.500 0.500


# 12
Crystalline La3Mg3Ir2Pt at its relaxed geometry, computed with PBE.

Properties
The total energy is -5.541 eV/atom. The value obtained for the volume is 22.9 Å³ per atom.

a = 4.149 Å, b = 7.577 Å, c = 7.577 Å
α = 120.05°, β = 90.00°, γ = 90.00°
Fractional positions:
La 0.000 0.001 0.581
La 0.000 0.419 0.419
La 0.000 0.581 0.001
Mg 0.500 0.761 0.761
Mg 0.500 0.000 0.240
Mg 0.500 0.240 0.000
Pt 0.000 0.000 0.000
Ir 0.500 0.333 0.666
Ir 0.500 0.666 0.333